# 1
# TiTcOsW GGA-PBE relaxed
# Formation enthalpy at 0 K in kJ per mole of atoms: -30.9
data_TiTcOsW
_chemical_formula_sum 'Ti4 Tc4 Os4 W4'
_cell_length_a 6.228
_cell_length_b 6.228
_cell_length_c 6.228
_cell_angle_alpha 90.00
_cell_angle_beta 90.00
_cell_angle_gamma 90.00
_symmetry_space_group_name_H-M 'F -4 3 m'
_symmetry_Int_Tables_number 216
_symmetry_space_group_name_Hall 'F -4 2 3'
loop_
_atom_site_label
_atom_site_fract_x
_atom_site_fract_y
_atom_site_fract_z
Ti1 0.000 0.000 0.000
Tc1 0.250 0.250 0.250
Os1 0.250 0.250 0.750
W1 0.000 0.000 0.500

---

# 2
# Y4GeSe2 GGA-PBE relaxed
# Formation energy from raw total energies in eV/f.u.: -8.64
data_Y4GeSe2
_chemical_formula_sum 'Y8 Ge2 Se4'
_cell_length_a 7.219
_cell_length_b 12.161
_cell_length_c 4.211
_cell_angle_alpha 90.00
_cell_angle_beta 90.00
_cell_angle_gamma 90.00
_symmetry_space_group_name_H-M 'P b a m'
_symmetry_Int_Tables_number 55
_symmetry_space_group_name_Hall '-P 2 2ab'
loop_
_atom_site_label
_atom_site_fract_x
_atom_site_fract_y
_atom_site_fract_z
Y1 0.116 0.213 0.000
Y2 0.248 0.949 0.500
Ge1 0.000 0.000 0.000
Se1 0.101 0.683 0.500

---

# 3
# VSi2Tc GGA-PBE relaxed
# Formation energy from raw total energies in eV/f.u.: -1.23
data_VSi2Tc
_chemical_formula_sum 'V1 Si2 Tc1'
_cell_length_a 2.905
_cell_length_b 2.905
_cell_length_c 6.296
_cell_angle_alpha 90.00
_cell_angle_beta 90.00
_cell_angle_gamma 90.00
_symmetry_space_group_name_H-M 'P 4/m m m'
_symmetry_Int_Tables_number 123
_symmetry_space_group_name_Hall '-P 4 2'
loop_
_atom_site_label
_atom_site_fract_x
_atom_site_fract_y
_atom_site_fract_z
V1 0.000 0.000 0.000
Si1 0.500 0.500 0.267
Tc1 0.000 0.000 0.500

---

# 4
# OsAuCl2 GGA-PBE relaxed
# Formation energy from raw total energies in eV/f.u.: 2.69
data_OsAuCl2
_chemical_formula_sum 'Os1 Au1 Cl2'
_cell_length_a 3.055
_cell_length_b 3.055
_cell_length_c 8.050
_cell_angle_alpha 90.00
_cell_angle_beta 90.00
_cell_angle_gamma 90.00
_symmetry_space_group_name_H-M 'P 4 m m'
_symmetry_Int_Tables_number 99
_symmetry_space_group_name_Hall 'P 4 -2'
loop_
_atom_site_label
_atom_site_fract_x
_atom_site_fract_y
_atom_site_fract_z
Os1 0.000 0.000 0.000
Au1 0.500 0.500 0.229
Cl1 0.000 0.000 0.456
Cl2 0.500 0.500 0.830

---

# 5
# TaFe4B2 GGA-PBE relaxed
# Formation enthalpy at 0 K in kJ per mole of atoms: -30.1
data_TaFe4B2
_chemical_formula_sum 'Ta2 Fe8 B4'
_cell_length_a 3.388
_cell_length_b 12.078
_cell_length_c 3.381
_cell_angle_alpha 90.00
_cell_angle_beta 90.00
_cell_angle_gamma 90.00
_symmetry_space_group_name_H-M 'C m m m'
_symmetry_Int_Tables_number 65
_symmetry_space_group_name_Hall '-C 2 2'
loop_
_atom_site_label
_atom_site_fract_x
_atom_site_fract_y
_atom_site_fract_z
Ta1 0.000 0.000 0.000
Fe1 0.000 0.181 0.500
Fe2 0.000 0.318 0.000
B1 0.000 0.427 0.500

---

# 6
# Mg6HIrPb2 GGA-PBE relaxed
# DFT total energy in eV per atom: -2.9229
data_Mg6HIrPb2
_chemical_formula_sum 'Mg12 H2 Ir2 Pb4'
_cell_length_a 9.512
_cell_length_b 9.532
_cell_length_c 6.727
_cell_angle_alpha 90.00
_cell_angle_beta 134.79
_cell_angle_gamma 90.00
_symmetry_space_group_name_H-M 'C 1 2/m 1'
_symmetry_Int_Tables_number 12
_symmetry_space_group_name_Hall '-C 2y'
loop_
_atom_site_label
_atom_site_fract_x
_atom_site_fract_y
_atom_site_fract_z
Mg1 0.000 0.236 0.000
Mg2 0.235 0.000 0.999
Mg3 0.236 0.000 0.472
H1 0.000 0.000 0.000
Ir1 0.000 0.500 0.000
Pb1 0.000 0.250 0.500

---

# 7
# BeV2Pd GGA-PBE relaxed
# Formation enthalpy at 0 K in kJ per mole of atoms: 23.2
data_BeV2Pd
_chemical_formula_sum 'Be4 V8 Pd4'
_cell_length_a 3.360
_cell_length_b 3.360
_cell_length_c 18.791
_cell_angle_alpha 90.00
_cell_angle_beta 90.00
_cell_angle_gamma 90.00
_symmetry_space_group_name_H-M 'I -4 2 d'
_symmetry_Int_Tables_number 122
_symmetry_space_group_name_Hall 'I -4 2bw'
loop_
_atom_site_label
_atom_site_fract_x
_atom_site_fract_y
_atom_site_fract_z
Be1 0.000 0.000 0.000
V1 0.239 0.250 0.125
Pd1 0.000 0.000 0.500

---

# 8
# ZnOsW2 GGA-PBE relaxed
# Formation enthalpy at 0 K in kJ per mole of atoms: 22.8
data_ZnOsW2
_chemical_formula_sum 'Zn1 Os1 W2'
_cell_length_a 2.813
_cell_length_b 2.813
_cell_length_c 7.739
_cell_angle_alpha 90.00
_cell_angle_beta 90.00
_cell_angle_gamma 90.00
_symmetry_space_group_name_H-M 'P 4 m m'
_symmetry_Int_Tables_number 99
_symmetry_space_group_name_Hall 'P 4 -2'
loop_
_atom_site_label
_atom_site_fract_x
_atom_site_fract_y
_atom_site_fract_z
Zn1 0.000 0.000 0.000
Os1 0.500 0.500 0.237
W1 0.000 0.000 0.467
W2 0.500 0.500 0.748

---

# 9
# AgHgIr3 GGA-PBE relaxed
# Formation enthalpy at 0 K in kJ per mole of atoms: 221.6
data_AgHgIr3
_chemical_formula_sum 'Ag1 Hg1 Ir3'
_cell_length_a 4.836
_cell_length_b 4.836
_cell_length_c 4.836
_cell_angle_alpha 90.00
_cell_angle_beta 90.00
_cell_angle_gamma 90.00
_symmetry_space_group_name_H-M 'P m -3 m'
_symmetry_Int_Tables_number 221
_symmetry_space_group_name_Hall '-P 4 2 3'
loop_
_atom_site_label
_atom_site_fract_x
_atom_site_fract_y
_atom_site_fract_z
Ag1 0.000 0.000 0.000
Hg1 0.500 0.500 0.500
Ir1 0.000 0.000 0.500

---

# 10
# Cs2SrCa GGA-PBE relaxed
# Formation enthalpy at 0 K in kJ per mole of atoms: 28.1
data_Cs2SrCa
_chemical_formula_sum 'Cs8 Sr4 Ca4'
_cell_length_a 10.556
_cell_length_b 10.556
_cell_length_c 10.556
_cell_angle_alpha 90.00
_cell_angle_beta 90.00
_cell_angle_gamma 90.00
_symmetry_space_group_name_H-M 'F m -3 m'
_symmetry_Int_Tables_number 225
_symmetry_space_group_name_Hall '-F 4 2 3'
loop_
_atom_site_label
_atom_site_fract_x
_atom_site_fract_y
_atom_site_fract_z
Cs1 0.250 0.250 0.250
Sr1 0.000 0.000 0.000
Ca1 0.000 0.000 0.500

---

# 11
# Nd4AgTe2P GGA-PBE relaxed
# Formation energy from raw total energies in eV/f.u.: -9.21
data_Nd4AgTe2P
_chemical_formula_sum 'Nd4 Ag1 Te2 P1'
_cell_length_a 7.580
_cell_length_b 4.313
_cell_length_c 7.680
_cell_angle_alpha 90.00
_cell_angle_beta 108.42
_cell_angle_gamma 90.00
_symmetry_space_group_name_H-M 'P 1 2/m 1'
_symmetry_Int_Tables_number 10
_symmetry_space_group_name_Hall '-P 2y'
loop_
_atom_site_label
_atom_site_fract_x
_atom_site_fract_y
_atom_site_fract_z
Nd1 0.222 0.000 0.226
Nd2 0.235 0.500 0.760
Ag1 0.000 0.000 0.500
Te1 0.500 0.000 0.000
Te2 0.500 0.500 0.500
P1 0.000 0.500 0.000

---

# 12
# YScCr GGA-PBE relaxed
# Formation enthalpy at 0 K in kJ per mole of atoms: 25.7
data_YScCr
_chemical_formula_sum 'Y2 Sc2 Cr2'
_cell_length_a 3.404
_cell_length_b 3.404
_cell_length_c 11.862
_cell_angle_alpha 90.00
_cell_angle_beta 90.00
_cell_angle_gamma 90.00
_symmetry_space_group_name_H-M 'I 4 m m'
_symmetry_Int_Tables_number 107
_symmetry_space_group_name_Hall 'I 4 -2'
loop_
_atom_site_label
_atom_site_fract_x
_atom_site_fract_y
_atom_site_fract_z
Y1 0.000 0.000 0.000
Sc1 0.000 0.000 0.721
Cr1 0.000 0.000 0.346